<A>
The following is a GGA-PBE calculation of a geometry-optimized PaSnN structure, from Alexandria.

Results
volume	22.2	Å³ per atom

Unit cell a=3.7811 b=3.7811 c=5.3910 alpha=90.00 beta=90.00 gamma=120.00
Space group P-6m2 (No. 187)
One atom of each set of equivalent atoms:
Pa1 0.0000 0.0000 0.0000
Sn1 0.6667 0.3333 0.5000
N1 0.3333 0.6667 0.0000

<B>
The following is a GGA-PBE calculation of a geometry-optimized PaSnN structure, from Alexandria.

Results
volume	21.4	Å³ per atom

Unit cell a=3.193 b=3.193 c=12.608 alpha=90.00 beta=90.00 gamma=90.00
Space group I4mm (No. 107)
One atom of each set of equivalent atoms:
Pa1 0.000 0.000 0.000
Sn1 0.000 0.000 0.272
N1 0.000 0.000 0.542

<C>
The following is a GGA-PBE calculation of a geometry-optimized PaSnN structure, from Alexandria.

Results
volume	21.4	Å³ per atom

Unit cell a=4.0424 b=4.0424 c=27.1808 alpha=90.00 beta=90.00 gamma=120.00
Space group R-3m (No. 166, hexagonal axes)
One atom of each set of equivalent atoms:
Pa1 0.0000 0.0000 0.1181
Sn1 0.0000 0.0000 0.3626
N1 0.0000 0.0000 0.1980

<D>
The following is a GGA-PBE calculation of a geometry-optimized PaSnN structure, from Alexandria.

Results
volume	21.4	Å³ per atom

Unit cell a=4.151 b=4.151 c=7.449 alpha=90.00 beta=90.00 gamma=90.00
Space group P4/nmm (No. 129, origin choice 2)
One atom of each set of equivalent atoms:
Pa1 0.250 0.250 0.143
Sn1 0.250 0.750 0.500
N1 0.250 0.750 0.000

Most stable structure, least stable structure: <D>, <B>.

<A>
The following is a GGA-PBE calculation of a geometry-optimized Pa2SnN structure, from Alexandria.

Results
volume	19.3	Å³ per atom

Unit cell a=3.125 b=3.125 c=7.913 alpha=90.00 beta=90.00 gamma=90.00
Space group P4/mmm (No. 123)
One atom of each set of equivalent atoms:
Pa1 0.000 0.000 0.188
Sn1 0.500 0.500 0.500
N1 0.500 0.500 0.000

<B>
The following is a GGA-PBE calculation of a geometry-optimized Pa2SnN structure, from Alexandria.

Results
volume	22.6	Å³ per atom

Unit cell a=6.394 b=6.394 c=8.838 alpha=90.00 beta=90.05 gamma=90.00
Space group C2/m (No. 12)
One atom of each set of equivalent atoms:
Pa1 0.000 0.250 0.000
Pa2 0.250 0.000 0.347
Sn1 0.250 0.000 0.711
N1 0.250 0.000 0.101

Most stable structure, least stable structure: <B>, <A>.

<A>
The following is a GGA-PBE calculation of a geometry-optimized Sr3PaN4 structure, from Alexandria.

Results
volume	18.7	Å³ per atom

Unit cell a=7.5484 b=7.5484 c=9.1190 alpha=90.00 beta=90.00 gamma=120.00
Space group R3m (No. 160, hexagonal axes)
One atom of each set of equivalent atoms:
Sr1 0.0013 0.5006 0.0000
Pa1 0.0000 0.0000 0.0193
N1 0.0000 0.0000 0.5032
N2 0.1943 0.3887 0.8014

<B>
The following is a GGA-PBE calculation of a geometry-optimized Sr3PaN4 structure, from Alexandria.

Results
volume	18.3	Å³ per atom

Unit cell a=10.415 b=5.309 c=5.310 alpha=90.00 beta=90.00 gamma=90.00
Space group Pmn2_1 (No. 31)
One atom of each set of equivalent atoms:
Sr1 0.000 0.245 0.000
Sr2 0.250 0.251 0.496
Pa1 0.000 0.727 0.518
N1 0.000 0.307 0.497
N2 0.000 0.745 0.938
N3 0.201 0.756 0.489

Most stable structure, least stable structure: <B>, <A>.

<A>
The following is a GGA-PBE calculation of a geometry-optimized TbPaN structure, from Alexandria.

Results
volume	19.9	Å³ per atom

Unit cell a=3.3920 b=3.3920 c=35.9707 alpha=90.00 beta=90.00 gamma=120.00
Space group R-3m (No. 166, hexagonal axes)
One atom of each set of equivalent atoms:
Tb1 0.0000 0.0000 0.2129
Pa1 0.0000 0.0000 0.0409
N1 0.0000 0.0000 0.4135

<B>
The following is a GGA-PBE calculation of a geometry-optimized TbPaN structure, from Alexandria.

Results
volume	18.6	Å³ per atom

Unit cell a=6.063 b=6.063 c=6.063 alpha=90.00 beta=90.00 gamma=90.00
Space group F-43m (No. 216)
One atom of each set of equivalent atoms:
Tb1 0.000 0.000 0.000
Pa1 0.000 0.000 0.500
N1 0.250 0.250 0.250

Most stable structure, least stable structure: <A>, <B>.